The following is a GGA-PBE calculation of Th2Co4Ge3Ir after structural relaxation, from the Alexandria database.

```
Th2Co4Ge3Ir
1.0
4.1272 0.0000 0.0000
0.0000 4.1272 0.0000
0.0000 0.0000 9.7755
Co Th Ge Ir
4 2 3 1
Direct
0.0000 0.0000 0.0000
0.0000 0.5000 0.3701
0.5000 0.5000 0.0000
0.5000 0.0000 0.6299
0.5000 0.0000 0.2429
0.0000 0.5000 0.7571
0.0000 0.5000 0.1255
0.5000 0.0000 0.8745
0.0000 0.0000 0.5000
0.5000 0.5000 0.5000
```

Output
formation energy from the elements = -0.533 eV per atom